No. 1
Computed, not measured: a PBEsol-optimized structure of Sc2CuF at the meta-GGA SCAN level of DFT.

abc: 3.7504 3.7504 7.1594
angles: 74.82 74.82 60.00
Element x y z (fractional)
Sc 0.9017 0.9017 0.2948
Sc 0.0983 0.0983 0.7052
Cu 0.5000 0.5000 0.5000
F 0.0000 0.0000 0.0000

- Formation energy from raw total energies: -1.30 eV per atom
- Total DFT energy (no corrections): -13.104 eV per atom

=====

No. 2
Computed, not measured: a PBEsol-optimized structure of Rb2BI at the meta-GGA SCAN level of DFT.

abc: 5.9144 5.9144 5.9144
angles: 60.00 60.00 60.00
Element x y z (fractional)
I 0.5000 0.5000 0.5000
Rb 0.7500 0.7500 0.7500
Rb 0.2500 0.2500 0.2500
B 0.0000 0.0000 0.0000

- Formation energy from raw total energies: 0.27 eV per atom
- Total DFT energy (no corrections): -21.138 eV per atom

=====

No. 3
Computed, not measured: a PBEsol-optimized structure of Nd2Ru2O7 at the meta-GGA SCAN level of DFT.

abc: 7.2735 7.2735 7.2735
angles: 60.00 60.00 60.00
Element x y z (fractional)
O 0.2034 0.2034 0.7966
O 0.4534 0.0466 0.4534
O 0.2034 0.7966 0.7966
O 0.0466 0.4534 0.4534
O 0.2034 0.7966 0.2034
O 0.4534 0.0466 0.0466
O 0.7966 0.2034 0.2034
O 0.0466 0.0466 0.4534
O 0.7966 0.2034 0.7966
O 0.7966 0.7966 0.2034
O 0.7500 0.7500 0.7500
O 0.5000 0.5000 0.5000
O 0.4534 0.4534 0.0466
O 0.0466 0.4534 0.0466
Nd 0.6250 0.6250 0.6250
Nd 0.6250 0.1250 0.6250
Nd 0.6250 0.6250 0.1250
Nd 0.1250 0.6250 0.6250
Ru 0.6250 0.1250 0.1250
Ru 0.1250 0.6250 0.1250
Ru 0.1250 0.1250 0.6250
Ru 0.1250 0.1250 0.1250

- Formation energy from raw total energies: -2.37 eV per atom
- Total DFT energy (no corrections): -20.594 eV per atom

=====

No. 4
Computed, not measured: a PBEsol-optimized structure of BaSc2Ru at the meta-GGA SCAN level of DFT.

abc: 3.4596 3.8382 7.9420
angles: 90.00 90.00 90.00
Element x y z (fractional)
Sc 0.5000 0.5000 0.1678
Sc 0.0000 0.0000 0.9412
Ru 0.5000 0.5000 0.8570
Ba 0.0000 0.0000 0.5341

- Excess energy over the best structure of this formula in the dataset: 0 meV/atom
- Total DFT energy (no corrections): -25.715 eV per atom
- Energy relative to the elements: -0.002 eV/atom